Below is a relaxed structure of LiSc2Te2, with properties calculated at the PBE-GGA level.

```
LiSc2Te2
1.0
-2.9055 -5.4876 4.7340
6.2834 -4.4489 -1.3006
1.7803 1.6394 2.9929
Te Sc Li
4 4 2
direct
0.3431 0.8431 0.0000 Te
0.6569 0.1569 0.0000 Te
0.8431 0.6569 0.0000 Te
0.1569 0.3431 0.0000 Te
0.8577 0.3577 0.5000 Sc
0.1423 0.6423 0.5000 Sc
0.6423 0.8577 0.5000 Sc
0.3577 0.1423 0.5000 Sc
0.5000 0.5000 0.0000 Li
0.0000 0.0000 0.0000 Li
```

Summary:
Mass density, g cm⁻³: 4.98
Raw formation energy, eV per atom: -0.90
Energy relative to the lowest polymorph listed for this composition, eV per atom: 0.000

=====

Below is a relaxed structure of LiSc5Te6, with properties calculated at the PBE-GGA level.

```
LiSc5Te6
1.0
7.2178 0.1919 0.0000
2.2157 6.8495 0.0000
1.1079 3.4248 6.2286
Sc Te Li
5 6 1
direct
0.5000 0.8325 0.3349 Sc
0.5000 0.1675 0.6651 Sc
0.0000 0.3355 0.3291 Sc
0.5000 0.5000 0.0000 Sc
0.0000 0.6645 0.6709 Sc
0.7524 0.0818 0.3292 Te
0.7524 0.4110 0.6708 Te
0.2476 0.9182 0.6708 Te
0.2476 0.5890 0.3292 Te
0.7529 0.7546 0.0000 Te
0.2471 0.2454 0.0000 Te
0.0000 0.0000 0.0000 Li
```

Summary:
Mass density, g cm⁻³: 5.42
Raw formation energy, eV per atom: -1.15

=====

Below is a relaxed structure of LiScTe2, with properties calculated at the PBE-GGA level.

```
LiScTe2
1.0
-0.7016 2.9488 -2.0903
-3.6225 -0.2920 0.8039
-1.5572 4.2635 6.5372
Te Sc Li
2 1 1
direct
0.0000 0.3427 0.5181 Te
0.0000 0.1573 0.9819 Te
0.5000 0.7500 0.7500 Sc
0.5000 0.2500 0.2500 Li
```

Summary:
Mass density, g cm⁻³: 4.95
Raw formation energy, eV per atom: -0.89

=====

Below is a relaxed structure of LiScTe2, with properties calculated at the PBE-GGA level.

```
LiScTe2
1.0
5.1995 0.0000 0.0000
2.5997 4.5029 0.0000
2.5997 1.5010 4.2454
Sc Te Li
1 2 1
direct
0.7500 0.7500 0.7500 Sc
0.2500 0.2500 0.2500 Te
0.0000 0.0000 0.0000 Te
0.5000 0.5000 0.5000 Li
```

Summary:
Mass density, g cm⁻³: 5.13
Raw formation energy, eV per atom: -0.28

=====

Below is a relaxed structure of Li3Sc5Te8, with properties calculated at the PBE-GGA level.

```
Li3Sc5Te8
1.0
-6.9632 4.0290 -2.0389
-4.4750 3.7865 5.8748
-0.1951 8.3712 0.3178
Sc Li Te
5 3 8
direct
0.5000 0.5000 0.5000 Sc
0.0000 0.5000 0.0000 Sc
0.5000 0.5000 0.0000 Sc
0.5000 0.0000 0.0000 Sc
0.0000 0.0000 0.0000 Sc
0.5000 0.0000 0.5000 Li
0.0000 0.5000 0.5000 Li
0.0000 0.0000 0.5000 Li
0.2508 0.2508 0.2475 Te
0.7500 0.7500 0.2512 Te
0.7500 0.2487 0.2512 Te
0.2487 0.7500 0.2512 Te
0.7492 0.7492 0.7525 Te
0.7513 0.2500 0.7488 Te
0.2500 0.7513 0.7488 Te
0.2500 0.2500 0.7488 Te
```

Summary:
Mass density, g cm⁻³: 5.13
Raw formation energy, eV per atom: -1.18

=====

Below is a relaxed structure of LiSc5Te4, with properties calculated at the PBE-GGA level.

```
LiSc5Te4
1.0
6.7793 0.0000 0.0000
0.0000 8.6586 0.0000
0.0000 0.0000 9.0675
Sc Li Te
10 2 8
direct
0.7597 0.8072 0.3030 Sc
0.2403 0.3072 0.8030 Sc
0.8695 0.5000 0.0000 Sc
0.7597 0.1928 0.3030 Sc
0.1305 0.0000 0.5000 Sc
0.7597 0.8072 0.6970 Sc
0.2403 0.6928 0.8030 Sc
0.7597 0.1928 0.6970 Sc
0.2403 0.3072 0.1970 Sc
0.2403 0.6928 0.1970 Sc
0.2197 0.5000 0.5000 Li
0.7803 0.0000 0.0000 Li
0.4290 0.7526 0.5000 Te
0.5710 0.2526 0.0000 Te
0.0769 0.0000 0.1926 Te
0.9231 0.5000 0.3074 Te
0.5710 0.7474 0.0000 Te
0.0769 0.0000 0.8074 Te
0.4290 0.2474 0.5000 Te
0.9231 0.5000 0.6926 Te
```

Summary:
Mass density, g cm⁻³: 4.63
Raw formation energy, eV per atom: -0.74

=====

Below is a relaxed structure of LiSc2Te2, with properties calculated at the PBE-GGA level.

```
LiSc2Te2
1.0
7.9723 0.0000 0.0000
0.0000 7.9723 0.0000
0.0000 0.0000 3.7974
Te Sc Li
4 4 2
direct
0.3400 0.1600 0.5000 Te
0.1600 0.6600 0.5000 Te
0.6600 0.8400 0.5000 Te
0.8400 0.3400 0.5000 Te
0.3617 0.8617 0.0000 Sc
0.1383 0.3617 0.0000 Sc
0.8617 0.6383 0.0000 Sc
0.6383 0.1383 0.0000 Sc
0.0000 0.0000 0.0000 Li
0.5000 0.5000 0.0000 Li
```

Summary:
Mass density, g cm⁻³: 4.84
Raw formation energy, eV per atom: -0.74
Energy relative to the lowest polymorph listed for this composition, eV per atom: 0.160

=====

Below is a relaxed structure of LiSc2Te4, with properties calculated at the PBE-GGA level.

```
LiSc2Te4
1.0
-4.3882 0.0107 2.8353
1.2135 -4.7147 1.8959
2.0324 0.8276 7.9558
Te Sc Li
4 2 1
direct
0.7957 0.7957 0.4086 Te
0.2043 0.2043 0.5914 Te
0.0000 0.5000 0.0000 Te
0.5000 0.0000 0.0000 Te
0.3886 0.3886 0.2228 Sc
0.6114 0.6114 0.7772 Sc
0.0000 0.0000 0.0000 Li
```

Summary:
Mass density, g cm⁻³: 5.01
Raw formation energy, eV per atom: -0.62
Energy relative to the lowest polymorph listed for this composition, eV per atom: 0.388

=====

Below is a relaxed structure of LiSc3Te4, with properties calculated at the PBE-GGA level.

```
LiSc3Te4
1.0
5.3783 0.0051 -2.3842
-1.0611 5.2726 -2.3841
-0.0241 -0.0297 7.2045
Te Sc Li
4 3 1
direct
0.2474 0.2474 0.4947 Te
0.7526 0.7526 0.5053 Te
0.0000 0.5000 0.0000 Te
0.5000 0.0000 0.0000 Te
0.5000 0.5000 0.0000 Sc
0.2500 0.7500 0.5000 Sc
0.7500 0.2500 0.5000 Sc
0.0000 0.0000 0.0000 Li
```

Summary:
Mass density, g cm⁻³: 5.32
Raw formation energy, eV per atom: -1.15
Energy relative to the lowest polymorph listed for this composition, eV per atom: 0.000

=====

Below is a relaxed structure of LiScTe2, with properties calculated at the PBE-GGA level.

```
LiScTe2
1.0
-5.7904 1.1953 -4.2684
-2.9680 0.3342 -6.6525
-0.9896 -3.9270 0.2468
Te Sc Li
2 1 1
direct
0.7193 0.7193 0.6246 Te
0.9589 0.9589 0.1253 Te
0.3026 0.3026 0.1248 Sc
0.5192 0.5192 0.6253 Li
```

Summary:
Mass density, g cm⁻³: 4.71
Raw formation energy, eV per atom: -1.05

=====

Below is a relaxed structure of Li4ScTe, with properties calculated at the PBE-GGA level.

```
Li4ScTe
1.0
5.4746 0.6826 -0.0727
2.3476 3.8139 3.2227
3.0307 -1.5451 4.3440
Li Te Sc
4 1 1
direct
0.3749 0.8752 0.3749 Li
0.8752 0.3749 0.3749 Li
0.3749 0.3749 0.8752 Li
0.3749 0.3749 0.3749 Li
0.0000 0.0000 0.0000 Te
0.7500 0.7500 0.7500 Sc
```

Summary:
Mass density, g cm⁻³: 2.80
Raw formation energy, eV per atom: -0.08

=====

Below is a relaxed structure of LiSc4Te, with properties calculated at the PBE-GGA level.

```
LiSc4Te
1.0
0.0000 4.2273 4.2273
4.2273 0.0000 4.2273
4.2273 4.2273 0.0000
Sc Li Te
4 1 1
direct
0.3748 0.8756 0.3748 Sc
0.8756 0.3748 0.3748 Sc
0.3748 0.3748 0.8756 Sc
0.3748 0.3748 0.3748 Sc
0.0000 0.0000 0.0000 Li
0.7500 0.7500 0.7500 Te
```

Summary:
Mass density, g cm⁻³: 3.46
Raw formation energy, eV per atom: 0.18